# 1
# PaAlPd2 | Alexandria via LeMat-Bulk | GGA-PBE | optimized geometry
data_PaAlPd2
_space_group_name_H-M_alt 'R -3 m'
_space_group_IT_number 166
_space_group_name_Hall '-R 3 2"'
_cell_length_a 3.0377
_cell_length_b 3.0377
_cell_length_c 26.9921
_cell_angle_alpha 90.00
_cell_angle_beta 90.00
_cell_angle_gamma 120.00
loop_
_atom_site_label
_atom_site_fract_x
_atom_site_fract_y
_atom_site_fract_z
Pa1 0.0000 0.0000 0.0000
Al1 0.0000 0.0000 0.5000
Pd1 0.0000 0.0000 0.2367
# Formation energy in eV per atom: -0.4424
# Calculated volume in A^3/atom: 17.98
# Electronic total energy in eV/cell: -76.181

***

# 2
# PaAl2Pd3 | Alexandria via LeMat-Bulk | GGA-PBE | optimized geometry
data_PaAl2Pd3
_space_group_name_H-M_alt 'P 63/m m c'
_space_group_IT_number 194
_space_group_name_Hall '-P 6c 2c'
_cell_length_a 4.3838
_cell_length_b 4.3838
_cell_length_c 12.7601
_cell_angle_alpha 90.00
_cell_angle_beta 90.00
_cell_angle_gamma 120.00
loop_
_atom_site_label
_atom_site_fract_x
_atom_site_fract_y
_atom_site_fract_z
Pa1 0.0000 0.0000 0.2500
Al1 0.3333 0.6667 0.0735
Pd1 0.0000 0.0000 0.0000
Pd2 0.3333 0.6667 0.6312
# Formation energy in eV per atom: -0.7207
# Calculated volume in A^3/atom: 17.70
# Electronic total energy in eV/cell: -73.767

***

# 3
# PaAlPd2 | Alexandria via LeMat-Bulk | GGA-PBE | optimized geometry
data_PaAlPd2
_space_group_name_H-M_alt 'P 4/m m m'
_space_group_IT_number 123
_space_group_name_Hall '-P 4 2'
_cell_length_a 3.133
_cell_length_b 3.133
_cell_length_c 7.177
_cell_angle_alpha 90.00
_cell_angle_beta 90.00
_cell_angle_gamma 90.00
loop_
_atom_site_label
_atom_site_fract_x
_atom_site_fract_y
_atom_site_fract_z
Pa1 0.000 0.000 0.000
Al1 0.000 0.000 0.500
Pd1 0.500 0.500 0.295
# Formation energy in eV per atom: -0.6588
# Calculated volume in A^3/atom: 17.62
# Electronic total energy in eV/cell: -26.259

***

# 4
# PaAlPd | Alexandria via LeMat-Bulk | GGA-PBE | optimized geometry
data_PaAlPd
_space_group_name_H-M_alt 'P 3 m 1'
_space_group_IT_number 156
_cell_length_a 3.0513
_cell_length_b 3.0513
_cell_length_c 7.0951
_cell_angle_alpha 90.00
_cell_angle_beta 90.00
_cell_angle_gamma 120.00
loop_
_space_group_symop_operation_xyz
'x,y,z'
'-y,x-y,z'
'-x+y,-x,z'
'-y,-x,z'
'-x+y,y,z'
'x,x-y,z'
loop_
_atom_site_label
_atom_site_fract_x
_atom_site_fract_y
_atom_site_fract_z
Pa1 0.0000 0.0000 0.0000
Al1 0.6667 0.3333 0.3682
Pd1 0.3333 0.6667 0.6359
# Formation energy in eV per atom: -0.3231
# Calculated volume in A^3/atom: 19.07
# Electronic total energy in eV/cell: -19.401

***

# 5
# PaAlPd6 | Alexandria via LeMat-Bulk | GGA-PBE | optimized geometry
data_PaAlPd6
_space_group_name_H-M_alt 'P -6 m 2'
_space_group_IT_number 187
_space_group_name_Hall 'P -6 2'
_cell_length_a 5.6932
_cell_length_b 5.6932
_cell_length_c 4.6906
_cell_angle_alpha 90.00
_cell_angle_beta 90.00
_cell_angle_gamma 120.00
loop_
_atom_site_label
_atom_site_fract_x
_atom_site_fract_y
_atom_site_fract_z
Pa1 0.0000 0.0000 0.0000
Al1 0.3333 0.6667 0.5000
Pd1 0.0050 0.5025 0.0000
Pd2 0.3381 0.1691 0.5000
# Formation energy in eV per atom: -0.6985
# Calculated volume in A^3/atom: 16.46
# Electronic total energy in eV/cell: -49.984

***

# 6
# PaAlPd2 | Alexandria via LeMat-Bulk | GGA-PBE | optimized geometry
data_PaAlPd2
_space_group_name_H-M_alt 'P 4/m m m'
_space_group_IT_number 123
_space_group_name_Hall '-P 4 2'
_cell_length_a 4.856
_cell_length_b 4.856
_cell_length_c 3.176
_cell_angle_alpha 90.00
_cell_angle_beta 90.00
_cell_angle_gamma 90.00
loop_
_atom_site_label
_atom_site_fract_x
_atom_site_fract_y
_atom_site_fract_z
Pa1 0.000 0.000 0.000
Al1 0.500 0.500 0.000
Pd1 0.000 0.500 0.500
# Formation energy in eV per atom: -0.4492
# Calculated volume in A^3/atom: 18.72
# Electronic total energy in eV/cell: -25.421

***

Repeat the third record exactly.
# PaAlPd2 | Alexandria via LeMat-Bulk | GGA-PBE | optimized geometry
data_PaAlPd2
_space_group_name_H-M_alt 'P 4/m m m'
_space_group_IT_number 123
_space_group_name_Hall '-P 4 2'
_cell_length_a 3.133
_cell_length_b 3.133
_cell_length_c 7.177
_cell_angle_alpha 90.00
_cell_angle_beta 90.00
_cell_angle_gamma 90.00
loop_
_atom_site_label
_atom_site_fract_x
_atom_site_fract_y
_atom_site_fract_z
Pa1 0.000 0.000 0.000
Al1 0.000 0.000 0.500
Pd1 0.500 0.500 0.295
# Formation energy in eV per atom: -0.6588
# Calculated volume in A^3/atom: 17.62
# Electronic total energy in eV/cell: -26.259

***

Q: calculated volume of number 1 (PaAlPd2)?
A: 17.98 A^3/atom

***

Q: Look up the formation energy of the first one.
A: -0.4424 eV per atom